No. 1
The following is a PBE calculation of a relaxed structure of ErS2, from OQMD via LeMat-Bulk.

abc: 5.478 5.478 5.478
angles: 60.00 60.00 60.00
Fractional coordinates of all 6 atoms:
Er (0.125, 0.125, 0.125)
Er (0.875, 0.875, 0.875)
S (0.000, 0.500, 0.500)
S (0.500, 0.000, 0.500)
S (0.500, 0.500, 0.000)
S (0.500, 0.500, 0.500)

Results
calculated volume = 116 Å³/cell
space-group type = No. 227
total energy = -4.284 eV/atom

=====

No. 2
The following is a PBE calculation of a relaxed structure of SnPtS4, from OQMD via LeMat-Bulk.

abc: 6.289 3.641 7.108
angles: 90.00 106.53 90.00
Fractional coordinates of all 6 atoms:
Sn (0.000, 0.000, 0.000)
Pt (0.500, 0.500, 0.000)
S (0.123, 0.500, 0.794)
S (0.416, 0.000, 0.190)
S (0.584, 0.000, 0.810)
S (0.877, 0.500, 0.206)

Results
calculated volume = 156 Å³/cell
space-group type = No. 10
total energy = -4.813 eV/atom

=====

No. 3
The following is a PBE calculation of a relaxed structure of AlTcO3F, from OQMD via LeMat-Bulk.

abc: 3.455 6.152 6.166
angles: 74.76 87.41 77.50
Fractional coordinates of all 12 atoms:
Al (0.124, 0.273, 0.174)
Al (0.876, 0.727, 0.826)
Tc (0.319, 0.654, 0.343)
Tc (0.681, 0.346, 0.657)
O (0.120, 0.384, 0.856)
O (0.199, 0.315, 0.466)
O (0.229, 0.963, 0.238)
O (0.771, 0.037, 0.762)
O (0.801, 0.685, 0.534)
O (0.880, 0.616, 0.144)
F (0.370, 0.736, 0.845)
F (0.630, 0.264, 0.155)

Results
calculated volume = 123 Å³/cell
space-group type = No. 2
total energy = -7.131 eV/atom

=====

No. 4
The following is a PBE calculation of a relaxed structure of TbTlZnSe3, from OQMD via LeMat-Bulk.

abc: 10.131 4.177 15.644
angles: 90.00 90.00 90.00
Fractional coordinates of all 24 atoms:
Tb (0.179, 0.250, 0.054)
Tb (0.321, 0.750, 0.554)
Tb (0.679, 0.250, 0.446)
Tb (0.821, 0.750, 0.946)
Tl (0.028, 0.750, 0.315)
Tl (0.472, 0.250, 0.815)
Tl (0.528, 0.750, 0.185)
Tl (0.972, 0.250, 0.685)
Zn (0.167, 0.750, 0.864)
Zn (0.333, 0.250, 0.364)
Zn (0.667, 0.750, 0.636)
Zn (0.833, 0.250, 0.136)
Se (0.017, 0.250, 0.896)
Se (0.170, 0.250, 0.479)
Se (0.210, 0.750, 0.714)
Se (0.290, 0.250, 0.214)
Se (0.330, 0.750, 0.979)
Se (0.483, 0.750, 0.396)
Se (0.517, 0.250, 0.604)
Se (0.670, 0.250, 0.021)
Se (0.710, 0.750, 0.786)
Se (0.790, 0.250, 0.286)
Se (0.830, 0.750, 0.521)
Se (0.983, 0.750, 0.104)

Results
calculated volume = 662 Å³/cell
space-group type = No. 62
offset from the most stable computed form = 79 meV per atom

=====

No. 5
The following is a PBE calculation of a relaxed structure of CuAuC2N2, from OQMD via LeMat-Bulk.

abc: 5.970 5.970 5.970
angles: 147.47 122.27 67.85
Fractional coordinates of all 6 atoms:
Cu (0.000, 0.000, 0.000)
Au (0.500, 0.500, 0.000)
C (0.300, 0.300, 0.000)
C (0.700, 0.700, 0.000)
N (0.182, 0.182, 0.000)
N (0.818, 0.818, 0.000)

Results
calculated volume = 95 Å³/cell
space-group type = No. 71
total energy = -6.680 eV/atom

=====

No. 6
The following is a PBE calculation of a relaxed structure of ZnFeOsAu, from OQMD via LeMat-Bulk.

abc: 4.377 4.377 4.377
angles: 60.00 60.00 60.00
Fractional coordinates of all 4 atoms:
Zn (0.000, 0.000, 0.000)
Fe (0.250, 0.250, 0.250)
Os (0.500, 0.500, 0.500)
Au (0.750, 0.750, 0.750)

Results
calculated volume = 59 Å³/cell
space-group type = No. 216
offset from the most stable computed form = 0 meV per atom
formation energy from the elements = 0.44 eV per atom

=====

- The lowest calculated volume belongs to which entry?
  ZnFeOsAu